Record 1
A geometry-optimized La3Al6Pd20 structure, computed with PBE.

Cell and atoms, written as extended XYZ:
```
29
Lattice="0.000 6.292 6.292 6.292 0.000 6.292 6.292 6.292 0.000" Properties=species:S:1:pos:R:3 pbc="T T T"
La 0.000 0.000 0.000
La 3.146 3.146 3.146
La 9.437 9.437 9.437
Al 6.292 6.292 3.431
Al 6.292 3.431 6.292
Al 9.152 6.292 6.292
Al 3.431 6.292 6.292
Al 6.292 9.152 6.292
Al 6.292 6.292 9.152
Pd 2.174 2.174 0.000
Pd 4.118 4.118 0.000
Pd 2.174 0.000 2.174
Pd 6.292 4.118 2.174
Pd 4.118 0.000 4.118
Pd 6.292 2.174 4.118
Pd 7.775 4.808 4.808
Pd 0.000 2.174 2.174
Pd 4.118 6.292 2.174
Pd 4.118 2.174 6.292
Pd 4.808 4.808 4.808
Pd 7.775 7.775 4.808
Pd 7.775 4.808 7.775
Pd 4.808 7.775 4.808
Pd 4.808 4.808 7.775
Pd 7.775 7.775 7.775
Pd 0.000 4.118 4.118
Pd 2.174 6.292 4.118
Pd 2.174 4.118 6.292
Pd 4.808 7.775 7.775
```

- energy of formation from the pure elements (kJ/mol of formula units) = -2138
- N(E_F) (states/eV per atom) = 0.647

Record 2
A geometry-optimized Ca2Y2Tc structure, computed with PBE.

Cell and atoms, written as extended XYZ:
```
10
Lattice="7.273 0.000 0.000 0.000 7.273 0.000 0.000 0.000 5.586" Properties=species:S:1:pos:R:3 pbc="T T T"
Ca 1.103 2.534 0.000
Ca 2.534 6.171 0.000
Ca 4.739 1.103 0.000
Ca 6.171 4.739 0.000
Y 1.326 4.962 2.793
Y 2.311 1.326 2.793
Y 4.962 5.948 2.793
Y 5.948 2.311 2.793
Tc 0.000 0.000 0.000
Tc 3.637 3.637 0.000
```

- energy of formation from the pure elements (kJ/mol of formula units) = 317
- N(E_F) (states/eV per atom) = 1.522
- offset from the most stable computed form (eV/atom) = 0.0000